Entry from the Alexandria database: a geometry-optimized PmSm2TmS5 structure (PBE).

The space group is P4/mmm (No. 123) and the conventional cell measures 4.830, 4.830 and 10.414 Å, with angles of 90.00, 90.00 and 90.00 degrees. The distinct sites, in fractional coordinates, are Pm at (0.000, 0.000, 0.000), Sm at (0.500, 0.500, 0.321), Tm at (0.000, 0.000, 0.500), S at (0.000, 0.000, 0.251), S at (0.000, 0.500, 0.500) and S at (0.500, 0.500, 0.000).

The density of states at the Fermi level is 0.603 states/eV per atom. The formation energy from raw total energies is -1.45 eV per atom.


Entry from the Alexandria database: a geometry-optimized KAl2Se structure (PBE).

The space group is Cmmm (No. 65) and the conventional cell measures 5.999, 11.248 and 2.939 Å, with angles of 90.00, 90.00 and 90.00 degrees. The distinct sites, in fractional coordinates, are K at (0.000, 0.000, 0.000), Al at (0.250, 0.250, 0.500) and Se at (0.000, 0.500, 0.000).

The density of states at the Fermi level is 0.485 states/eV per atom. The formation energy from raw total energies is 0.18 eV per atom.


Entry from the Alexandria database: a geometry-optimized K3Eu structure (PBE).

The space group is P6_3/mmc (No. 194) and the conventional cell measures 9.0628, 9.0628 and 7.4233 Å, with angles of 90.00, 90.00 and 120.00 degrees. The distinct sites, in fractional coordinates, are K at (0.1685, 0.3370, 0.2500) and Eu at (0.3333, 0.6667, 0.7500).

The density of states at the Fermi level is 4.059 states/eV per atom. As for the excess energy over the best structure of this formula in the dataset: 0.027 eV/atom.